Record 1
MnReW2, optimized geometry, DFT PBE; formation energy = 0.0997 eV/atom; symmetry = No. 44
1.0
-1.182 -4.626 1.835
3.935 -3.096 1.045
-2.106 4.537 1.069
W Re Mn
2 1 1
Direct
0.000 0.000 0.000
0.750 0.250 0.500
0.248 0.748 0.500
0.501 0.501 0.000


Record 2
Ce5GaSi3, optimized geometry, DFT PBE; symmetry = No. 193; energy relative to the elements, uncorrected = -0.523 eV per atom
1.0
-0.882 4.676 -3.952
-8.809 -0.694 1.146
4.771 5.362 5.279
Ce Ga Si
10 2 6
Direct
0.750 0.000 0.709
0.750 0.709 0.000
0.000 0.667 0.333
0.750 0.291 0.291
0.000 0.333 0.667
0.250 0.709 0.709
0.500 0.333 0.667
0.250 0.000 0.291
0.250 0.291 0.000
0.500 0.667 0.333
0.000 0.000 0.000
0.500 0.000 0.000
0.250 0.365 0.365
0.250 0.000 0.635
0.750 0.365 0.000
0.750 0.000 0.365
0.250 0.635 0.000
0.750 0.635 0.635


Record 3
NaCeF6, optimized geometry, DFT PBE; symmetry = No. 2; energy relative to the elements, uncorrected = -2.925 eV per atom
1.0
5.295 0.018 0.015
2.652 4.613 0.013
2.647 1.536 5.591
Ce F Na
1 6 1
Direct
0.500 0.500 0.500
0.587 0.250 0.268
0.898 0.587 0.268
0.751 0.103 0.732
0.413 0.750 0.732
0.249 0.897 0.268
0.102 0.413 0.732
0.000 0.000 0.000


Record 4
Pm12Sm6Cd, optimized geometry, DFT PBE; formation energy = 0.1082 eV/atom; symmetry = No. 148
1.0
-2.240 -6.441 -5.523
-2.047 -4.158 7.451
-7.376 4.698 -0.717
Pm Cd Sm
12 1 6
Direct
0.829 0.420 0.420
0.740 0.260 0.001
0.171 0.580 0.580
0.260 0.001 0.740
0.001 0.740 0.260
0.580 0.171 0.580
0.260 0.740 0.999
0.420 0.420 0.829
0.580 0.580 0.171
0.999 0.260 0.740
0.420 0.829 0.420
0.740 0.999 0.260
0.000 0.000 0.000
0.866 0.865 0.594
0.594 0.866 0.865
0.406 0.134 0.135
0.135 0.406 0.134
0.865 0.594 0.866
0.134 0.135 0.406


Record 5
Ca2AsPb, optimized geometry, DFT PBE; formation energy = -0.6318 eV/atom; symmetry = No. 44
1.0
-6.667 0.488 -0.679
-4.449 -1.426 4.829
5.425 3.566 -1.731
Ca As Pb
2 1 1
Direct
0.039 0.039 0.000
0.758 0.258 0.500
0.247 0.747 0.500
0.456 0.456 0.000


Record 6
KTl3I, optimized geometry, DFT PBE; symmetry = No. 221; energy relative to the elements, uncorrected = 0.344 eV per atom
1.0
6.384 0.000 0.000
0.000 6.384 0.000
0.000 0.000 6.384
I K Tl
1 1 3
Direct
0.500 0.500 0.500
0.000 0.000 0.000
0.500 0.000 0.000
0.000 0.500 0.000
0.000 0.000 0.500


Record 7
Tb4AlZn2In, optimized geometry, DFT PBE; formation energy = -0.3892 eV/atom; symmetry = No. 166
1.0
5.158 0.000 0.000
2.579 4.467 0.000
2.579 1.489 8.438
Al Zn Tb In
1 2 4 1
Direct
0.500 0.500 0.500
0.750 0.750 0.749
0.250 0.250 0.251
0.622 0.622 0.134
0.378 0.378 0.866
0.128 0.128 0.617
0.872 0.872 0.383
0.000 0.000 0.000


Record 8
Ba2ZrSc, optimized geometry, DFT PBE; formation energy = 0.8937 eV/atom; symmetry = No. 122
1.0
9.407 0.000 0.000
0.000 9.407 0.000
4.704 4.704 3.371
Zr Sc Ba
2 2 4
Direct
0.750 0.250 0.500
0.000 0.000 0.000
0.250 0.750 0.500
0.500 0.500 0.000
0.627 0.125 0.250
0.375 0.373 0.750
0.875 0.877 0.750
0.123 0.625 0.250


Record 9
In8Bi3Pb2, optimized geometry, DFT PBE; formation energy = 0.0842 eV/atom; symmetry = No. 65
1.0
5.573 0.001 -0.002
-0.003 8.233 -3.424
0.003 -0.915 9.410
In Bi Pb
8 3 2
Direct
0.000 0.110 0.219
0.000 0.320 0.640
0.500 0.794 0.217
0.000 0.890 0.781
0.500 0.206 0.783
0.500 0.423 0.217
0.500 0.577 0.783
0.000 0.680 0.360
0.000 0.678 0.000
0.000 0.322 0.000
0.500 0.000 0.000
0.500 0.212 0.425
0.500 0.788 0.575


Record 10
CeMg2Zn4Cd, optimized geometry, DFT PBE; formation energy = -0.1108 eV/atom; symmetry = No. 166
1.0
4.643 0.000 0.000
2.321 4.021 0.000
2.321 1.340 8.606
Zn Ce Cd Mg
4 1 1 2
Direct
0.611 0.611 0.167
0.122 0.122 0.634
0.389 0.389 0.833
0.878 0.878 0.366
0.000 0.000 0.000
0.500 0.500 0.500
0.753 0.753 0.741
0.247 0.247 0.259


Record 11
CdIO3, optimized geometry, DFT PBE; symmetry = No. 15; energy relative to the elements, uncorrected = -0.426 eV per atom
1.0
6.219 -0.352 -0.339
1.435 7.102 0.948
1.435 1.201 7.064
Cd I O
4 4 12
Direct
0.250 0.078 0.922
0.750 0.348 0.652
0.750 0.922 0.078
0.250 0.652 0.348
0.195 0.599 0.869
0.805 0.401 0.131
0.695 0.869 0.599
0.305 0.131 0.401
0.934 0.429 0.346
0.566 0.654 0.571
0.359 0.358 0.966
0.066 0.571 0.654
0.434 0.346 0.429
0.641 0.642 0.034
0.141 0.034 0.642
0.606 0.057 0.775
0.894 0.225 0.943
0.394 0.943 0.225
0.859 0.966 0.358
0.106 0.775 0.057


Record 12
Mg2Tl2Pt, optimized geometry, DFT PBE; formation energy = 0.0029 eV/atom; symmetry = No. 127
1.0
7.271 0.000 0.000
0.000 7.271 0.000
0.000 0.000 4.278
Pt Tl Mg
2 4 4
Direct
0.500 0.500 0.000
0.000 0.000 0.000
0.147 0.353 0.000
0.647 0.147 0.000
0.353 0.853 0.000
0.853 0.647 0.000
0.337 0.163 0.500
0.163 0.663 0.500
0.663 0.837 0.500
0.837 0.337 0.500


These records have theoretical density values of 16.9, 6.7, 3.4, 7.0, 5.3, 5.0, 7.8, 4.6, 7.9, 5.8, 6.1, 9.6 g/cm3, in the order they appear.